Record 1
GGA-PBE Pr2Al3Re, optimized geometry; symmetry = R-3m (166); ΔH_f (0 K) = -292.7 meV/atom
1.0
5.046 -0.155 -2.662
-3.206 4.716 -0.234
-0.305 0.066 5.534
Pr Al Re
2 3 1
Cartesian
2.530 1.649 -1.420
-0.996 2.978 4.058
0.767 2.314 1.319
-0.153 0.033 2.767
2.370 -0.044 1.436
0.000 0.000 0.000

***

Record 2
GGA-PBE PrAlRe, optimized geometry; symmetry = P-62m (189); ΔH_f (0 K) = 80.0 meV/atom
1.0
-0.501 -3.811 -2.826
-2.540 -3.600 5.305
-4.246 3.585 -4.082
Al Pr Re
3 3 3
Cartesian
-3.359 -3.110 0.763
-3.928 -0.715 -2.366
0.000 0.000 0.000
-3.761 -0.008 0.678
-1.893 1.598 -1.819
-1.132 -1.605 2.365
-3.609 0.930 -4.641
-2.259 -4.752 2.782
-1.670 -1.908 -1.157

***

Record 3
GGA-PBE PrAl2Re2Si, optimized geometry; symmetry = P4/mmm (123); formation energy (no corrections) = -0.124 eV per atom
1.0
-1.084 -3.961 1.924
3.459 -1.992 -2.153
3.441 1.202 4.415
Pr Al Re Si
1 2 2 1
Cartesian
1.720 0.601 2.208
3.745 -2.083 3.167
2.071 -2.668 1.019
-0.542 -1.981 0.962
1.729 -0.996 -1.077
0.000 0.000 0.000

***

Record 4
GGA-PBE PrAlRh, optimized geometry; symmetry = Pnma (62); ΔH_f (0 K) = -802.1 meV/atom
1.0
-3.003 2.866 -1.061
-4.501 -3.005 4.618
2.702 5.013 5.896
Pr Rh Al
4 4 4
Cartesian
-5.720 0.857 5.523
0.918 4.017 3.930
-3.840 1.672 2.406
-0.962 3.202 7.048
-3.862 3.049 6.189
-0.940 1.825 3.264
-0.883 5.903 5.469
-3.919 -1.029 3.984
-3.614 4.255 8.745
-1.188 0.619 0.708
-2.387 3.859 4.202
-2.415 1.016 5.251

***

Record 5
GGA-PBE Pr2Al9Rh3, optimized geometry; symmetry = C2/c (15); ΔH_f (0 K) = -806.2 meV/atom
1.0
-5.292 5.550 0.063
-0.069 -5.369 -5.475
-2.188 -7.410 7.284
Pr Al Rh
4 18 6
Cartesian
-3.440 -5.023 4.131
-4.109 -2.206 -2.259
-6.958 -3.166 2.314
-0.591 -4.063 -0.442
-4.144 -7.913 0.438
-3.404 0.683 1.435
-5.254 -5.682 1.611
-2.295 -1.547 0.261
-4.471 -7.819 3.252
-3.078 0.589 -1.380
-2.441 -5.860 1.307
-5.108 -1.370 0.565
-6.298 -1.372 4.816
-1.251 -5.857 -2.943
-2.865 -11.600 1.548
-4.684 4.371 0.325
-4.034 -2.079 3.024
-3.514 -5.150 -1.152
-5.942 -3.965 -0.492
-1.606 -3.264 2.365
-6.228 -4.164 5.148
-1.320 -3.065 -3.276
-2.646 2.775 0.032
-3.774 -3.615 0.936
-5.551 0.047 2.754
-1.998 -7.276 -0.882
-0.933 -0.884 -1.851
-6.615 -6.345 3.723

***

Record 6
GGA-PBE Pr3AlRh, optimized geometry; symmetry = C2/m (12); ΔH_f (0 K) = -345.2 meV/atom
1.0
6.868 0.302 0.140
-1.589 6.689 -0.140
-2.769 -3.397 6.121
Pr Al Rh
6 2 2
Cartesian
4.883 -0.422 1.720
0.153 2.107 1.580
2.357 1.486 4.541
3.640 2.739 1.110
-2.373 4.015 4.401
-1.130 0.854 5.011
2.669 -2.016 4.963
-0.159 5.609 1.158
1.643 4.248 2.443
0.867 -0.655 3.678

***

Record 7
GGA-PBE Pr8Al2Rh, optimized geometry; symmetry = C2/m (12); ΔH_f (0 K) = -237.4 meV/atom
1.0
-4.692 1.219 -1.872
-2.437 -6.187 2.079
0.758 4.841 8.463
Pr Al Rh
8 2 1
Cartesian
-2.627 1.034 7.256
-5.177 -3.715 3.342
-4.993 -0.572 4.929
-4.407 4.471 6.743
-1.377 0.445 3.740
-1.193 3.588 5.326
-3.743 -1.161 1.413
-1.963 -4.598 1.926
-3.974 2.396 4.308
-2.396 -2.523 4.361
-2.346 0.609 -0.936

***

Record 8
GGA-PBE Pr2AlRh2, optimized geometry; symmetry = C2/c (15); ΔH_f (0 K) = -770.3 meV/atom
1.0
-5.793 -0.088 -1.041
-2.855 -5.003 -1.212
-2.832 -1.932 6.906
Pr Al Rh
4 2 4
Cartesian
-3.880 -1.397 0.258
-7.004 -3.290 0.990
-7.601 -5.627 4.395
-4.477 -3.734 3.663
-3.921 -4.887 0.535
-7.559 -2.137 4.117
-5.702 -1.050 2.733
-9.354 -3.328 5.498
-5.779 -5.974 1.920
-2.127 -3.696 -0.845

***

Record 9
GGA-PBE PrAl2Rh, optimized geometry; symmetry = Pnma (62); ΔH_f (0 K) = -756.1 meV/atom
1.0
-0.821 0.633 -5.824
-6.980 -0.869 0.889
-1.653 15.209 1.885
Pr Al Rh
8 16 8
Cartesian
-2.355 2.148 -2.254
-6.632 5.497 -4.292
-7.099 12.824 -0.796
-2.821 9.475 1.242
-3.029 6.341 -3.448
-5.614 1.040 -0.656
-6.425 8.632 0.398
-3.839 13.933 -2.395
-1.500 3.741 -5.084
-7.454 3.879 -1.226
-5.213 11.573 1.685
-4.740 10.752 -1.475
-7.954 11.232 2.034
-1.999 11.093 -1.825
-4.240 3.400 -4.735
-4.713 4.220 -1.575
-4.639 0.721 -3.961
-4.039 6.687 -0.393
-2.185 14.579 0.576
-8.044 7.959 -2.322
-4.814 14.252 0.911
-5.415 8.286 -2.657
-7.268 0.394 -3.626
-1.410 7.014 -0.728
-2.432 4.619 -0.449
-6.138 2.705 -3.139
-7.021 10.354 -2.602
-3.316 12.267 0.088
-2.680 1.489 -5.451
-6.352 6.191 -1.419
-6.773 13.483 2.401
-3.101 8.781 -1.631

***

Record 10
GGA-PBE Pr2Al3Rh, optimized geometry; symmetry = R-3m (166); ΔH_f (0 K) = -612.2 meV/atom
1.0
4.995 -0.151 -2.637
-3.173 4.670 -0.233
-0.268 0.094 5.549
Pr Al Rh
2 3 1
Cartesian
2.521 1.650 -1.372
-0.966 2.962 4.051
0.777 2.306 1.340
-0.134 0.047 2.775
2.363 -0.028 1.456
0.000 0.000 0.000

***

Record 11
GGA-PBE Pr3Al4Rh4, optimized geometry; symmetry = I-43m (217); ΔH_f (0 K) = -708.6 meV/atom
1.0
-0.869 4.055 -5.241
-4.841 1.081 4.480
5.943 1.224 2.803
Pr Al Rh
3 4 4
Cartesian
-2.855 2.568 -0.381
2.537 2.640 -1.219
0.551 1.152 3.641
-1.255 0.280 1.161
1.540 0.317 0.726
-0.225 1.051 -1.358
0.173 4.712 1.512
-3.015 0.673 2.790
-0.541 2.526 -3.264
3.701 0.762 1.746
0.088 2.399 0.770

***

Record 12
GGA-PBE PrAl2Rh, optimized geometry; symmetry = R-3m (166); ΔH_f (0 K) = -705.1 meV/atom
1.0
-3.900 -0.598 1.545
-2.522 -2.951 -1.698
-0.193 -4.859 3.444
Pr Rh Al
1 1 2
Cartesian
0.000 0.000 0.000
-3.307 -4.204 1.645
-5.220 -5.817 2.004
-1.395 -2.590 1.287